PBE+U PmVNiO5, optimized geometry; calculated volume = 15.63 A^3/atom; space group = C2/c; E_tot = -7.00 eV/atom; DOS(E_F) = 0.000 states/eV/atom
1.0
-2.677 2.010 -5.093
3.301 -5.112 -0.334
-6.503 -2.628 4.236
O Pm Ni V
10 2 2 2
Direct
0.097 0.903 0.250 O
0.233 0.463 0.578 O
0.006 0.638 0.821 O
0.463 0.233 0.078 O
0.994 0.362 0.179 O
0.638 0.006 0.321 O
0.903 0.097 0.750 O
0.537 0.767 0.922 O
0.767 0.537 0.422 O
0.362 0.994 0.679 O
0.000 0.000 0.000 Pm
0.000 0.000 0.500 Pm
0.725 0.275 0.750 Ni
0.275 0.725 0.250 Ni
0.290 0.710 0.750 V
0.710 0.290 0.250 V